1.
Entry from the Alexandria database: crystalline NaPaMnN4 at its relaxed geometry (PBE-GGA).

a b c (Å): 5.797 5.305 7.180
angles (deg): 90.00 95.81 90.00
Sites, in units of the cell vectors:
Na 0.131 0.250 0.384
Na 0.869 0.750 0.616
Pa 0.271 0.250 0.931
Pa 0.729 0.750 0.069
Mn 0.239 0.750 0.175
Mn 0.761 0.250 0.825
N 0.010 0.750 0.309
N 0.088 0.750 0.955
N 0.431 0.502 0.181
N 0.431 0.998 0.181
N 0.569 0.002 0.819
N 0.569 0.498 0.819
N 0.912 0.250 0.045
N 0.990 0.250 0.691

For the uncorrected formation energy, the calculation gives -60 kJ per mole of atoms. For the density of states at the Fermi level, the calculation gives 2.868 states/eV/cell. The calculation puts the total energy at -8.23 eV per atom. The space-group type is No. 11.

=====

2.
Entry from the Alexandria database: crystalline ZrAl4Bi at its relaxed geometry (PBE-GGA).

a b c (Å): 5.466 5.466 5.466
angles (deg): 60.00 60.00 60.00
Sites, in units of the cell vectors:
Zr 0.000 0.000 0.000
Al 0.122 0.626 0.626
Al 0.626 0.122 0.626
Al 0.626 0.626 0.122
Al 0.626 0.626 0.626
Bi 0.250 0.250 0.250

For the density of states at the Fermi level, the calculation gives 4.163 states/eV/cell. The calculation puts the total energy at -4.70 eV per atom. The space-group type is No. 216.

=====

3.
Entry from the Alexandria database: crystalline Cs4Nd3US8 at its relaxed geometry (PBE-GGA).

a b c (Å): 9.450 9.450 9.450
angles (deg): 53.06 53.06 53.06
Sites, in units of the cell vectors:
Cs 0.000 0.000 0.000
Cs 0.000 0.500 0.500
Cs 0.500 0.000 0.500
Cs 0.500 0.500 0.000
Nd 0.000 0.000 0.500
Nd 0.000 0.500 0.000
Nd 0.500 0.000 0.000
U 0.500 0.500 0.500
S 0.229 0.229 0.229
S 0.237 0.724 0.724
S 0.276 0.276 0.763
S 0.276 0.763 0.276
S 0.724 0.237 0.724
S 0.724 0.724 0.237
S 0.763 0.276 0.276
S 0.771 0.771 0.771

For the uncorrected formation energy, the calculation gives -162 kJ per mole of atoms. For the density of states at the Fermi level, the calculation gives 9.499 states/eV/cell. The calculation puts the total energy at -5.56 eV per atom. The space-group type is No. 166.

=====

4.
Entry from the Alexandria database: crystalline TiGa2AgRu at its relaxed geometry (PBE-GGA).

a b c (Å): 4.608 4.608 5.105
angles (deg): 90.00 90.00 90.00
Sites, in units of the cell vectors:
Ti 0.000 0.000 0.000
Ga 0.000 0.500 0.500
Ga 0.500 0.000 0.500
Ag 0.500 0.500 0.500
Ru 0.500 0.500 0.000

For the density of states at the Fermi level, the calculation gives 7.414 states/eV/cell. The calculation puts the total energy at -4.10 eV per atom. The space-group type is No. 123.

=====

5.
Entry from the Alexandria database: crystalline BeFe2Pt at its relaxed geometry (PBE-GGA).

a b c (Å): 4.720 4.720 4.720
angles (deg): 137.34 137.34 61.91
Sites, in units of the cell vectors:
Be 0.000 0.000 0.000
Fe 0.250 0.750 0.500
Fe 0.750 0.250 0.500
Pt 0.500 0.500 0.000

For the density of states at the Fermi level, the calculation gives 3.398 states/eV/cell. The calculation puts the total energy at -6.87 eV per atom. The space-group type is No. 139.

=====

6.
Entry from the Alexandria database: crystalline Pm6Os2AuBr3 at its relaxed geometry (PBE-GGA).

a b c (Å): 7.236 7.236 8.139
angles (deg): 98.48 98.48 120.03
Sites, in units of the cell vectors:
Pm 0.077 0.434 0.802
Pm 0.208 0.208 0.197
Pm 0.434 0.077 0.802
Pm 0.566 0.923 0.198
Pm 0.792 0.792 0.803
Pm 0.923 0.566 0.198
Os 0.167 0.833 0.000
Os 0.833 0.167 0.000
Au 0.500 0.500 0.000
Br 0.000 0.000 0.500
Br 0.331 0.669 0.500
Br 0.669 0.331 0.500

For the uncorrected formation energy, the calculation gives -81 kJ per mole of atoms. For the density of states at the Fermi level, the calculation gives 3.337 states/eV/cell. The calculation puts the total energy at -5.78 eV per atom. The space-group type is No. 12.

=====

Going through the records in order, we get magnetic moment values of 0.148; 0.000; 0.185; 0.000; 1.240; 0.000 μB per atom.